#one
The following is a DFT calculation (PBE-GGA) of a relaxed structure of Sr3TaNb.

Structure (POSCAR):
```
Sr3TaNb
1.0
5.684 0.000 0.000
0.000 5.684 0.000
0.000 0.000 5.684
Sr Ta Nb
3 1 1
Direct
0.000 0.000 0.500 Sr
0.000 0.500 0.000 Sr
0.500 0.000 0.000 Sr
0.500 0.500 0.500 Ta
0.000 0.000 0.000 Nb
```

Results
Space-group type: Pm-3m (221)
DOS(E_F): 12.3 states/eV per cell
M_tot: 0.00 μB per cell


#two
The following is a DFT calculation (PBE-GGA) of a relaxed structure of Sr3TaNb.

Structure (POSCAR):
```
Sr3TaNb
1.0
5.913 0.000 0.000
0.000 5.913 0.000
0.000 0.000 5.913
Sr Ta Nb
3 1 1
Direct
0.000 0.000 0.500 Sr
0.000 0.500 0.000 Sr
0.500 0.000 0.000 Sr
0.000 0.000 0.000 Ta
0.500 0.500 0.500 Nb
```

Results
Space-group type: Pm-3m (221)
DOS(E_F): 8.2 states/eV per cell
M_tot: 3.37 μB per cell


Which is the most stable structure? #two is the most stable.


#one
The following is a DFT calculation (PBE-GGA) of a relaxed structure of SrTaNb2.

Structure (POSCAR):
```
SrTaNb2
1.0
-2.439 2.439 9.569
2.439 -2.439 9.569
2.439 2.439 -9.569
Sr Ta Nb
2 2 4
Direct
0.000 0.000 0.000 Sr
0.750 0.250 0.500 Sr
0.250 0.750 0.500 Ta
0.500 0.500 0.000 Ta
0.294 0.625 0.169 Nb
0.375 0.544 0.669 Nb
0.456 0.125 0.831 Nb
0.875 0.706 0.331 Nb
```

Results
Space-group type: I-42d (122)
DOS(E_F): 9.6 states/eV per cell
M_tot: 0.00 μB per cell


#two
The following is a DFT calculation (PBE-GGA) of a relaxed structure of SrTaNb2.

Structure (POSCAR):
```
SrTaNb2
1.0
0.000 3.495 3.495
3.495 0.000 3.495
3.495 3.495 0.000
Sr Ta Nb
1 1 2
Direct
0.000 0.000 0.000 Sr
0.500 0.500 0.500 Ta
0.250 0.250 0.250 Nb
0.750 0.750 0.750 Nb
```

Results
Space-group type: Fm-3m (225)
DOS(E_F): 7.2 states/eV per cell
M_tot: 0.00 μB per cell


Which is the most stable structure? #two is the most stable.


#one
The following is a DFT calculation (PBE-GGA) of a relaxed structure of SrNbTc2.

Structure (POSCAR):
```
SrNbTc2
1.0
-2.463 2.463 8.777
2.463 -2.463 8.777
2.463 2.463 -8.777
Sr Nb Tc
2 2 4
Direct
0.375 0.625 0.750 Sr
0.625 0.375 0.250 Sr
0.125 0.875 0.250 Nb
0.875 0.125 0.750 Nb
0.000 0.000 0.000 Tc
0.000 0.000 0.500 Tc
0.000 0.500 0.000 Tc
0.500 0.000 0.500 Tc
```

Results
Space-group type: I4_1/amd (141)
DOS(E_F): 10.9 states/eV per cell
M_tot: 0.00 μB per cell


#two
The following is a DFT calculation (PBE-GGA) of a relaxed structure of SrNbTc2.

Structure (POSCAR):
```
SrNbTc2
1.0
0.000 3.342 3.342
3.342 0.000 3.342
3.342 3.342 0.000
Sr Nb Tc
1 1 2
Direct
0.000 0.000 0.000 Sr
0.500 0.500 0.500 Nb
0.250 0.250 0.250 Tc
0.750 0.750 0.750 Tc
```

Results
Space-group type: Fm-3m (225)
DOS(E_F): 4.9 states/eV per cell
M_tot: 0.00 μB per cell


Which is the most stable structure? #two is the most stable.


#one
The following is a DFT calculation (PBE-GGA) of a relaxed structure of Sr2NbTc.

Structure (POSCAR):
```
Sr2NbTc
1.0
-5.918 5.918 2.319
5.918 -5.918 2.319
5.918 5.918 -2.319
Sr Nb Tc
4 2 2
Direct
0.375 0.206 0.331 Sr
0.794 0.125 0.169 Sr
0.875 0.044 0.669 Sr
0.956 0.625 0.831 Sr
0.250 0.750 0.500 Nb
0.500 0.500 0.000 Nb
0.000 0.000 0.000 Tc
0.750 0.250 0.500 Tc
```

Results
Space-group type: I-42d (122)
DOS(E_F): 12.0 states/eV per cell
M_tot: 1.16 μB per cell


#two
The following is a DFT calculation (PBE-GGA) of a relaxed structure of Sr2NbTc.

Structure (POSCAR):
```
Sr2NbTc
1.0
0.000 3.790 3.790
3.790 0.000 3.790
3.790 3.790 0.000
Sr Nb Tc
2 1 1
Direct
0.250 0.250 0.250 Sr
0.750 0.750 0.750 Sr
0.000 0.000 0.000 Nb
0.500 0.500 0.500 Tc
```

Results
Space-group type: Fm-3m (225)
DOS(E_F): 9.1 states/eV per cell
M_tot: 4.27 μB per cell


Which is the most stable structure? #one is the most stable.


#one
The following is a DFT calculation (PBE-GGA) of a relaxed structure of SrNb3Te.

Structure (POSCAR):
```
SrNb3Te
1.0
4.988 0.000 0.000
0.000 4.988 0.000
0.000 0.000 4.988
Sr Nb Te
1 3 1
Direct
0.000 0.000 0.000 Sr
0.000 0.000 0.500 Nb
0.000 0.500 0.000 Nb
0.500 0.000 0.000 Nb
0.500 0.500 0.500 Te
```

Results
Space-group type: Pm-3m (221)
DOS(E_F): 9.3 states/eV per cell
M_tot: 0.00 μB per cell


#two
The following is a DFT calculation (PBE-GGA) of a relaxed structure of SrNb3Te.

Structure (POSCAR):
```
SrNb3Te
1.0
5.173 0.000 0.000
0.000 5.173 0.000
0.000 0.000 5.173
Sr Nb Te
1 3 1
Direct
0.000 0.000 0.000 Sr
0.000 0.500 0.500 Nb
0.500 0.000 0.500 Nb
0.500 0.500 0.000 Nb
0.500 0.500 0.500 Te
```

Results
Space-group type: Pm-3m (221)
DOS(E_F): 12.1 states/eV per cell
M_tot: 0.00 μB per cell


Which is the most stable structure? #two is the most stable.


#one
The following is a DFT calculation (PBE-GGA) of a relaxed structure of SrNbTe3.

Structure (POSCAR):
```
SrNbTe3
1.0
5.512 0.000 0.000
0.000 5.512 0.000
0.000 0.000 5.512
Sr Nb Te
1 1 3
Direct
0.000 0.000 0.000 Sr
0.500 0.500 0.500 Nb
0.000 0.500 0.500 Te
0.500 0.000 0.500 Te
0.500 0.500 0.000 Te
```

Results
Space-group type: Pm-3m (221)
DOS(E_F): 2.9 states/eV per cell
M_tot: 0.00 μB per cell


#two
The following is a DFT calculation (PBE-GGA) of a relaxed structure of SrNbTe3.

Structure (POSCAR):
```
SrNbTe3
1.0
5.995 0.000 0.000
0.000 5.995 0.000
0.000 0.000 5.995
Sr Nb Te
1 1 3
Direct
0.000 0.000 0.000 Sr
0.500 0.500 0.500 Nb
0.000 0.000 0.500 Te
0.000 0.500 0.000 Te
0.500 0.000 0.000 Te
```

Results
Space-group type: Pm-3m (221)
DOS(E_F): 9.2 states/eV per cell
M_tot: 1.65 μB per cell


Which is the most stable structure? #one is the most stable.